Entry from Alexandria via LeMat-Bulk: a relaxed BeCu3Ni crystal (PBEsol).

Properties
space group = Pm-3m (221)
E_tot = -3.42 eV per atom
magnetic moment = 0.001 μB/atom
formation enthalpy at 0 K = 585 kJ/mol of formula units

abc: 4.252 4.252 4.252
angles: 90.00 90.00 90.00
Fractional positions:
1 Ni 0.000 0.000 0.000
2 Cu 0.500 0.000 0.000
3 Cu 0.000 0.000 0.500
4 Cu 0.000 0.500 0.000
5 Be 0.500 0.500 0.500

=====

Entry from Alexandria via LeMat-Bulk: a relaxed CsBaCdIn2 crystal (PBEsol).

Properties
space group = P4/mmm (123)
E_tot = -1.16 eV per atom
magnetic moment = 0.000 μB/atom
formation enthalpy at 0 K = 428 kJ/mol of formula units

abc: 6.061 6.061 6.502
angles: 90.00 90.00 90.00
Fractional positions:
1 Cs 0.000 0.000 0.000
2 Ba 0.000 0.000 0.500
3 In 0.000 0.500 0.000
4 In 0.500 0.000 0.000
5 Cd 0.500 0.500 0.500

=====

Entry from Alexandria via LeMat-Bulk: a relaxed Hg3SeO6 crystal (PBEsol).

Properties
space group = P3_1 (144)
E_tot = -4.16 eV per atom
magnetic moment = 0.000 μB/atom
formation energy (no corrections) = -458 meV per atom

abc: 7.157 7.157 10.307
angles: 90.00 90.00 120.00
Fractional positions:
1 O 0.673 0.519 0.289
2 O 0.228 0.270 0.423
3 O 0.850 0.260 0.447
4 O 0.515 0.672 0.055
5 O 0.091 0.424 0.228
6 O 0.010 0.891 0.602
7 O 0.730 0.958 0.757
8 O 0.042 0.772 0.090
9 O 0.157 0.485 0.722
10 O 0.411 0.150 0.114
11 O 0.333 0.909 0.895
12 O 0.109 0.119 0.935
13 O 0.328 0.843 0.388
14 O 0.881 0.990 0.268
15 O 0.481 0.154 0.622
16 O 0.846 0.327 0.955
17 O 0.576 0.667 0.562
18 O 0.740 0.589 0.780
19 Hg 0.189 0.505 0.984
20 Hg 0.317 0.811 0.651
21 Hg 0.685 0.497 0.026
22 Hg 0.495 0.683 0.318
23 Hg 0.812 0.315 0.693
24 Hg 0.701 0.000 0.004
25 Hg 0.503 0.188 0.360
26 Hg 0.299 0.299 0.671
27 Hg 0.000 0.701 0.338
28 Se 0.220 0.990 0.007
29 Se 0.770 0.780 0.674
30 Se 0.010 0.230 0.340

=====

Entry from Alexandria via LeMat-Bulk: a relaxed Cu3As crystal (PBEsol).

Properties
space group = P-3c1 (165)
E_tot = -4.47 eV per atom
magnetic moment = 0.000 μB/atom
formation enthalpy at 0 K = 23 kJ/mol of formula units

abc: 6.902 6.902 7.499
angles: 90.00 90.00 120.00
Fractional positions:
1 Cu 0.936 0.329 0.083
2 Cu 0.329 0.393 0.917
3 Cu 0.667 0.333 0.841
4 Cu 0.671 0.064 0.583
5 Cu 0.393 0.329 0.583
6 Cu 0.393 0.064 0.083
7 Cu 0.671 0.607 0.083
8 Cu 0.607 0.671 0.417
9 Cu 0.936 0.607 0.583
10 Cu 0.000 0.000 0.000
11 Cu 0.333 0.667 0.159
12 Cu 0.329 0.936 0.417
13 Cu 0.607 0.936 0.917
14 Cu 0.667 0.333 0.341
15 Cu 0.000 0.000 0.500
16 Cu 0.333 0.667 0.659
17 Cu 0.064 0.671 0.917
18 Cu 0.064 0.393 0.417
19 As 0.699 0.699 0.750
20 As 0.301 0.000 0.750
21 As 0.000 0.301 0.750
22 As 0.699 0.000 0.250
23 As 0.301 0.301 0.250
24 As 0.000 0.699 0.250

=====

Entry from Alexandria via LeMat-Bulk: a relaxed In2SbAu crystal (PBEsol).

Properties
space group = R3m (160)
E_tot = -3.68 eV per atom
offset from the most stable computed form = 13.4 meV per atom
magnetic moment = 0.000 μB/atom
formation energy (no corrections) = -64 meV per atom

abc: 4.300 4.300 6.724
angles: 71.35 71.35 60.00
Fractional positions:
1 Sb 0.483 0.483 0.550
2 Au 0.751 0.751 0.746
3 In 0.250 0.250 0.250
4 In 0.016 0.016 0.953

=====

Entry from Alexandria via LeMat-Bulk: a relaxed ReAg2As crystal (PBEsol).

Properties
space group = P4mm (99)
E_tot = -5.95 eV per atom
magnetic moment = 0.000 μB/atom
formation enthalpy at 0 K = 121 kJ/mol of formula units

abc: 3.144 3.144 6.474
angles: 90.00 90.00 90.00
Fractional positions:
1 As 0.000 0.000 0.536
2 Re 0.500 0.500 0.719
3 Ag 0.000 0.000 0.994
4 Ag 0.500 0.500 0.251

=====

Entry from Alexandria via LeMat-Bulk: a relaxed HfBiAs2Br crystal (PBEsol).

Properties
space group = P4/mmm (123)
E_tot = -4.31 eV per atom
magnetic moment = 0.090 μB/atom
formation energy (no corrections) = 1066 meV per atom

abc: 5.223 5.341 5.341
angles: 90.00 90.00 90.00
Site moments in Bohr magnetons follow the coordinates.
Fractional positions:
1 As 0.000 0.000 0.500  -0.03
2 As 0.000 0.500 0.000  -0.03
3 Hf 0.500 0.500 0.500  0.36
4 Br 0.500 0.000 0.000  -0.01
5 Bi 0.000 0.000 0.000  0.00

=====

Entry from Alexandria via LeMat-Bulk: a relaxed Y3TcCl crystal (PBEsol).

Properties
space group = Pm-3m (221)
E_tot = -6.68 eV per atom
magnetic moment = 0.198 μB/atom
formation energy (no corrections) = 70 meV per atom

abc: 4.966 4.966 4.966
angles: 90.00 90.00 90.00
Site moments in Bohr magnetons follow the coordinates.
Fractional positions:
1 Y 0.000 0.500 0.000  -0.08
2 Y 0.500 0.000 0.000  -0.08
3 Y 0.000 0.000 0.500  -0.08
4 Cl 0.000 0.000 0.000  0.00
5 Tc 0.500 0.500 0.500  1.27

=====

Entry from Alexandria via LeMat-Bulk: a relaxed BaCaLa crystal (PBEsol).

Properties
space group = P3m1 (156)
E_tot = -3.09 eV per atom
offset from the most stable computed form = 0.0 meV per atom
magnetic moment = 0.000 μB/atom
formation enthalpy at 0 K = 33 kJ/mol of formula units

abc: 3.863 3.863 9.718
angles: 90.00 90.00 120.00
Fractional positions:
1 La 0.667 0.333 0.342
2 Ca 0.333 0.667 0.653
3 Ba 0.000 0.000 0.005

=====

Entry from Alexandria via LeMat-Bulk: a relaxed Li2PbSe crystal (PBEsol).

Properties
space group = C2/m (12)
E_tot = -3.55 eV per atom
magnetic moment = 0.000 μB/atom
formation energy (no corrections) = -601 meV per atom

abc: 3.768 3.967 6.570
angles: 103.31 90.00 118.35
Fractional positions:
1 Li 0.214 0.427 0.150
2 Li 0.786 0.573 0.850
3 Pb 0.000 0.000 0.500
4 Se 0.500 0.000 0.000

=====

Entry from Alexandria via LeMat-Bulk: a relaxed Sc2BeFeCo crystal (PBEsol).

Properties
space group = P4/mmm (123)
E_tot = -6.24 eV per atom
magnetic moment = 0.319 μB/atom
formation enthalpy at 0 K = 262 kJ/mol of formula units

abc: 3.717 4.632 4.632
angles: 90.00 90.00 90.00
Site moments in Bohr magnetons follow the coordinates.
Fractional positions:
1 Sc 0.000 0.500 0.000  -0.28
2 Sc 0.000 0.000 0.500  -0.28
3 Co 0.500 0.500 0.500  1.27
4 Fe 0.500 0.000 0.000  1.45
5 Be 0.000 0.000 0.000  -0.08

=====

Entry from Alexandria via LeMat-Bulk: a relaxed SnBi2P2 crystal (PBEsol).

Properties
space group = P4/mbm (127)
E_tot = -4.68 eV per atom
magnetic moment = 0.000 μB/atom
formation enthalpy at 0 K = 100 kJ/mol of formula units

abc: 3.820 7.874 7.874
angles: 90.00 90.00 90.00
Fractional positions:
1 Sn 0.000 0.500 0.500
2 Sn 0.000 0.000 0.000
3 Bi 0.500 0.844 0.344
4 Bi 0.500 0.656 0.844
5 Bi 0.500 0.344 0.156
6 Bi 0.500 0.156 0.656
7 P 0.000 0.839 0.661
8 P 0.000 0.339 0.839
9 P 0.000 0.161 0.339
10 P 0.000 0.661 0.161

=====

Entry from Alexandria via LeMat-Bulk: a relaxed Be8In crystal (PBEsol).

Properties
space group = I4/mmm (139)
E_tot = -3.53 eV per atom
magnetic moment = 0.000 μB/atom
formation enthalpy at 0 K = 313 kJ/mol of formula units

abc: 3.402 5.415 5.415
angles: 84.34 71.69 71.69
Fractional positions:
1 Be 0.350 0.650 0.650
2 Be 0.650 0.350 0.350
3 Be 0.000 0.350 0.650
4 Be 0.687 0.000 0.627
5 Be 0.313 0.373 0.000
6 Be 0.313 0.000 0.373
7 Be 0.000 0.650 0.350
8 Be 0.687 0.627 0.000
9 In 0.000 0.000 0.000

=====

Entry from Alexandria via LeMat-Bulk: a relaxed OsRh2Au crystal (PBEsol).

Properties
space group = R-3m (166)
E_tot = -8.02 eV per atom
offset from the most stable computed form = 33.9 meV per atom
magnetic moment = 0.000 μB/atom
formation enthalpy at 0 K = 34 kJ/mol of formula units

abc: 2.726 2.726 9.099
angles: 81.38 81.38 60.00
Fractional positions:
1 Rh 0.255 0.255 0.236
2 Rh 0.745 0.745 0.764
3 Au 0.500 0.500 0.500
4 Os 0.000 0.000 0.000

=====

Entry from Alexandria via LeMat-Bulk: a relaxed KRbH2 crystal (PBEsol).

Properties
space group = Fm-3m (225)
E_tot = -2.31 eV per atom
offset from the most stable computed form = 0.0 meV per atom
magnetic moment = 0.000 μB/atom

abc: 4.826 4.826 4.826
angles: 60.00 60.00 60.00
Fractional positions:
1 K 0.000 0.000 0.000
2 Rb 0.500 0.500 0.500
3 H 0.250 0.250 0.250
4 H 0.750 0.750 0.750

=====

Entry from Alexandria via LeMat-Bulk: a relaxed Sr2YAlCr2O7 crystal (PBEsol).

Properties
space group = Ima2 (46)
E_tot = -8.10 eV per atom
magnetic moment = 0.461 μB/atom
formation energy (no corrections) = -2577 meV per atom

abc: 5.412 5.557 11.640
angles: 103.81 103.44 90.00
Site moments in Bohr magnetons follow the coordinates.
Fractional positions:
1 O 0.322 0.790 0.133  0.05
2 O 0.189 0.210 0.867  0.05
3 O 0.770 0.349 0.142  0.05
4 O 0.128 0.707 0.858  0.05
5 O 0.822 0.844 0.133  0.05
6 O 0.783 0.271 0.646  0.00
7 O 0.638 0.126 0.354  0.00
8 O 0.689 0.156 0.867  0.05
9 O 0.270 0.293 0.142  0.05
10 O 0.628 0.651 0.858  0.05
11 O 0.080 0.407 0.500  0.00
12 O 0.138 0.729 0.354  0.00
13 O 0.580 0.593 0.500  0.00
14 O 0.283 0.874 0.646  0.00
15 Cr 0.410 0.931 0.863  2.69
16 Cr 0.047 0.568 0.137  2.69
17 Cr 0.547 0.069 0.137  2.69
18 Cr 0.910 0.432 0.863  2.69
19 Sr 0.331 0.327 0.692  0.01
20 Sr 0.638 0.673 0.308  0.01
21 Sr 0.138 0.135 0.308  0.01
22 Sr 0.831 0.865 0.692  0.01
23 Y 0.484 0.500 0.000  0.03
24 Y 0.984 0.000 0.000  0.03
25 Al 0.761 0.323 0.500  0.00
26 Al 0.261 0.677 0.500  0.00

=====

Entry from Alexandria via LeMat-Bulk: a relaxed NbGaHg3 crystal (PBEsol).

Properties
space group = Pm-3m (221)
E_tot = -2.20 eV per atom
magnetic moment = 0.623 μB/atom
formation enthalpy at 0 K = 470 kJ/mol of formula units

abc: 4.965 4.965 4.965
angles: 90.00 90.00 90.00
Site moments in Bohr magnetons follow the coordinates.
Fractional positions:
1 Hg 0.500 0.000 0.000  0.00
2 Hg 0.000 0.000 0.500  0.00
3 Hg 0.000 0.500 0.000  0.00
4 Nb 0.500 0.500 0.500  2.45
5 Ga 0.000 0.000 0.000  -0.02

=====

Entry from Alexandria via LeMat-Bulk: a relaxed AsC2 crystal (PBEsol).

Properties
space group = P6_3/mmc (194)
E_tot = -7.00 eV per atom
offset from the most stable computed form = 220.7 meV per atom
magnetic moment = 0.000 μB/atom
formation enthalpy at 0 K = 328 kJ/mol of formula units

abc: 3.081 3.081 7.303
angles: 90.00 90.00 120.00
Fractional positions:
1 C 0.333 0.667 0.655
2 C 0.667 0.333 0.155
3 C 0.333 0.667 0.845
4 C 0.667 0.333 0.345
5 As 0.000 0.000 0.000
6 As 0.000 0.000 0.500

=====

Entry from Alexandria via LeMat-Bulk: a relaxed ZrNb crystal (PBEsol).

Properties
space group = Cmmm (65)
E_tot = -9.85 eV per atom
magnetic moment = 0.000 μB/atom
formation enthalpy at 0 K = 20 kJ/mol of formula units

abc: 2.945 2.945 4.781
angles: 90.00 90.00 110.42
Fractional positions:
1 Nb 0.000 0.000 0.000
2 Zr 0.500 0.500 0.500

=====

Entry from Alexandria via LeMat-Bulk: a relaxed PWAu2 crystal (PBEsol).

Properties
space group = F-43m (216)
E_tot = -6.40 eV per atom
offset from the most stable computed form = 190.4 meV per atom
magnetic moment = 0.000 μB/atom
formation enthalpy at 0 K = 178 kJ/mol of formula units

abc: 4.446 4.446 4.446
angles: 60.00 60.00 60.00
Fractional positions:
1 Au 0.250 0.250 0.250
2 Au 0.000 0.000 0.000
3 W 0.750 0.750 0.750
4 P 0.500 0.500 0.500

=====

Entry from Alexandria via LeMat-Bulk: a relaxed LaCu4 crystal (PBEsol).

Properties
space group = I-43m (217)
E_tot = -4.60 eV per atom
magnetic moment = 0.000 μB/atom
formation enthalpy at 0 K = -30 kJ/mol of formula units

abc: 7.505 7.505 7.505
angles: 109.47 109.47 109.47
Fractional positions:
1 La 0.000 0.000 0.567
2 La 0.433 0.433 0.433
3 La 0.567 0.000 0.000
4 La 0.000 0.567 0.000
5 Cu 0.199 0.000 0.000
6 Cu 0.750 0.500 0.250
7 Cu 0.500 0.750 0.250
8 Cu 0.640 0.640 0.000
9 Cu 0.000 0.000 0.199
10 Cu 0.360 0.000 0.360
11 Cu 0.360 0.360 0.000
12 Cu 0.500 0.250 0.750
13 Cu 0.801 0.801 0.801
14 Cu 0.250 0.500 0.750
15 Cu 0.000 0.360 0.360
16 Cu 0.000 0.640 0.640
17 Cu 0.640 0.000 0.640
18 Cu 0.750 0.250 0.500
19 Cu 0.000 0.199 0.000
20 Cu 0.250 0.750 0.500

=====

Entry from Alexandria via LeMat-Bulk: a relaxed Ru2PbCl crystal (PBEsol).

Properties
space group = Cm (8)
E_tot = -5.96 eV per atom
offset from the most stable computed form = 0.0 meV per atom
magnetic moment = 0.001 μB/atom
formation energy (no corrections) = 629 meV per atom

abc: 3.053 4.658 5.151
angles: 95.01 107.24 90.00
Fractional positions:
1 Ru 0.002 0.946 0.004
2 Ru 0.277 0.749 0.555
3 Pb 0.732 0.224 0.464
4 Cl 0.488 0.580 0.977

=====

Entry from Alexandria via LeMat-Bulk: a relaxed IrOsRu2 crystal (PBEsol).

Properties
space group = Cm (8)
E_tot = -10.55 eV per atom
offset from the most stable computed form = 7.0 meV per atom
magnetic moment = 0.000 μB/atom
formation enthalpy at 0 K = 16 kJ/mol of formula units

abc: 2.681 4.646 4.652
angles: 99.58 90.00 106.77
Fractional positions:
1 Ru 0.749 0.499 0.246
2 Ru 0.000 0.999 0.001
3 Os 0.250 0.501 0.753
4 Ir 0.501 0.001 0.500

=====

Entry from Alexandria via LeMat-Bulk: a relaxed HoInAu2 crystal (PBEsol).

Properties
space group = Fm-3m (225)
E_tot = -4.68 eV per atom
magnetic moment = 0.000 μB/atom
formation enthalpy at 0 K = -284 kJ/mol of formula units

abc: 4.839 4.839 4.839
angles: 60.00 60.00 60.00
Fractional positions:
1 Au 0.750 0.750 0.750
2 Au 0.250 0.250 0.250
3 Ho 0.500 0.500 0.500
4 In 0.000 0.000 0.000

=====

Entry from Alexandria via LeMat-Bulk: a relaxed CdPt2W crystal (PBEsol).

Properties
space group = Pmm2 (25)
E_tot = -7.21 eV per atom
magnetic moment = 0.000 μB/atom
formation enthalpy at 0 K = 8 kJ/mol of formula units

abc: 2.786 4.022 5.755
angles: 90.00 90.00 90.00
Fractional positions:
1 W 0.000 0.000 0.463
2 Pt 0.000 0.000 0.000
3 Pt 0.500 0.500 0.273
4 Cd 0.500 0.500 0.765